VASP calculation (PBE) on As2PRuBr after structural relaxation.

a = 4.7155 Å, b = 4.7155 Å, c = 5.1254 Å
α = 90.00°, β = 90.00°, γ = 90.00°
With the nearest neighbours (Å) after each atom.
Fractional positions:
As (0.0000, 0.5000, 0.0000)  2 Ru 2.36
As (0.5000, 0.0000, 0.0000)  2 Ru 2.36
Br (0.0000, 0.0000, 0.5000)  2 Ru 2.56
P (0.5000, 0.5000, 0.5000)  4 Br 3.33, 8 As 3.48
Ru (0.0000, 0.0000, 0.0000)  4 As 2.36, 2 Br 2.56

Crystal system: tetragonal
DOS(E_F): 5.540 states/eV/cell
VASP energy: -21.68 eV/cell
Space group: No. 123
Formation energy without anion corrections: 3.98 eV per formula unit
Energy relative to the lowest polymorph listed for this composition: 0 meV/atom